Entry 1:
{
  "formula": "CaMnCr2",
  "functional": "PBE",
  "state": "optimized geometry",
  "delta_e_f_kj_per_mol_atoms": 108,
  "space_group": "I-42d, No. 122",
  "dft_energy_ev_per_atom": -6.481,
  "dos_ef_per_ev_atom": 1.397,
  "e_above_lowest_polymorph_kj_per_mol_atoms": 65.9,
  "magnetic_moment_mub_per_cell": 0.000,
  "lattice": [[-1.006, 4.329, 0.557], [-1.634, -0.903, 4.072], [5.716, 2.950, 5.413]],
  "species": ["Ca", "Ca", "Cr", "Cr", "Cr", "Cr", "Mn", "Mn"],
  "frac_coords": [[0.500, 0.500, 0.000], [0.250, 0.750, 0.500], [0.879, 0.625, 0.250], [0.375, 0.129, 0.750], [0.875, 0.121, 0.750], [0.871, 0.125, 0.250], [0.750, 0.250, 0.500], [0.000, 0.000, 0.000]]
}

***

Entry 2:
{
  "formula": "BaTaPCl2",
  "functional": "PBE",
  "state": "optimized geometry",
  "space_group": "P4/mmm, No. 123",
  "dft_energy_ev_per_atom": -5.528,
  "dos_ef_per_ev_atom": 0.663,
  "e_above_lowest_polymorph_kj_per_mol_atoms": 0.0,
  "magnetic_moment_mub_per_cell": 0.000,
  "formation_energy_uncorrected_ev_per_atom": -0.952,
  "lattice": [[4.951, 0.000, 0.000], [0.000, 4.951, 0.000], [0.000, 0.000, 4.979]],
  "species": ["Cl", "Cl", "P", "Ta", "Ba"],
  "frac_coords": [[0.000, 0.500, 0.000], [0.500, 0.000, 0.000], [0.000, 0.000, 0.500], [0.000, 0.000, 0.000], [0.500, 0.500, 0.500]]
}

***

Entry 3:
{
  "formula": "GdMg2Ag",
  "functional": "PBE",
  "state": "optimized geometry",
  "delta_e_f_kj_per_mol_atoms": 13,
  "space_group": "R-3m, No. 166",
  "dft_energy_ev_per_atom": -4.892,
  "dos_ef_per_ev_atom": 0.706,
  "magnetic_moment_mub_per_cell": 7.489,
  "lattice": [[-0.010, -1.420, -2.852], [2.670, -0.110, -1.734], [3.575, -10.064, 3.219]],
  "species": ["Mg", "Mg", "Gd", "Ag"],
  "frac_coords": [[0.902, 0.902, 0.294], [0.098, 0.098, 0.706], [0.000, 0.000, 0.000], [0.500, 0.500, 0.500]]
}

***

Entry 4:
{
  "formula": "AsPtNF2",
  "functional": "PBE",
  "state": "optimized geometry",
  "space_group": "P4/mmm, No. 123",
  "dft_energy_ev_per_atom": -4.278,
  "dos_ef_per_ev_atom": 0.486,
  "e_above_lowest_polymorph_kj_per_mol_atoms": 0.0,
  "magnetic_moment_mub_per_cell": 1.091,
  "formation_energy_uncorrected_ev_per_atom": 0.274,
  "lattice": [[4.532, 0.000, 0.000], [0.000, 4.532, 0.000], [0.000, 0.000, 3.704]],
  "species": ["As", "N", "Pt", "F", "F"],
  "frac_coords": [[0.500, 0.500, 0.500], [0.000, 0.000, 0.500], [0.000, 0.000, 0.000], [0.500, 0.000, 0.000], [0.000, 0.500, 0.000]]
}